# 1
Density functional theory data (PBE-GGA) for NaSn2BiI8 after structural relaxation.

Geometry as CIF:
```
data_NaSn2BiI8
_chemical_formula_sum 'Na1 Sn2 Bi1 I8'
_space_group_name_H-M_alt 'P 1'
_space_group_IT_number 1
_space_group_name_Hall 'P 1'
_cell_length_a 7.770
_cell_length_b 7.331
_cell_length_c 9.249
_cell_angle_alpha 89.99
_cell_angle_beta 90.00
_cell_angle_gamma 88.70
loop_
_atom_site_label
_atom_site_type_symbol
_atom_site_fract_x
_atom_site_fract_y
_atom_site_fract_z
_atom_site_occupancy
I1 I 0.157 0.757 0.755 1
I2 I 0.843 0.244 0.755 1
Na1 Na 0.000 0.000 0.500 1
Sn1 Sn 0.500 0.500 0.253 1
I3 I 0.346 0.270 0.500 1
I4 I 0.329 0.240 0.000 1
I5 I 0.843 0.243 0.245 1
Sn2 Sn 0.500 0.500 0.747 1
Bi1 Bi 0.000 0.000 0.000 1
I6 I 0.671 0.760 0.000 1
I7 I 0.157 0.756 0.245 1
I8 I 0.654 0.730 0.500 1
```

Values from the calculation:
Uncorrected energy, eV/cell: -32.6
Space-group type: P2/m, No. 10
Spin magnetization, μB per cell: 0.00

=====

# 2
Density functional theory data (PBE-GGA) for NaBiTeI2 after structural relaxation.

Geometry as CIF:
```
data_NaBiTeI2
_chemical_formula_sum 'Na1 Bi1 Te1 I2'
_space_group_name_H-M_alt 'P 1'
_space_group_IT_number 1
_space_group_name_Hall 'P 1'
_cell_length_a 6.268
_cell_length_b 6.268
_cell_length_c 5.960
_cell_angle_alpha 90.00
_cell_angle_beta 90.00
_cell_angle_gamma 90.00
loop_
_atom_site_label
_atom_site_type_symbol
_atom_site_fract_x
_atom_site_fract_y
_atom_site_fract_z
_atom_site_occupancy
Na1 Na 0.500 0.500 0.500 1
Te1 Te 0.000 0.000 0.500 1
Bi1 Bi 0.000 0.000 0.000 1
I1 I 0.000 0.500 0.000 1
I2 I 0.500 0.000 0.000 1
```

Values from the calculation:
Uncorrected energy, eV/cell: -13.1
Space-group type: P4/mmm, No. 123
Spin magnetization, μB per cell: 0.00

=====

# 3
Density functional theory data (PBE-GGA) for NaBiTe2I after structural relaxation.

Geometry as CIF:
```
data_NaBiTe2I
_chemical_formula_sum 'Na1 Bi1 Te2 I1'
_space_group_name_H-M_alt 'P 1'
_space_group_IT_number 1
_space_group_name_Hall 'P 1'
_cell_length_a 5.963
_cell_length_b 5.963
_cell_length_c 6.299
_cell_angle_alpha 90.00
_cell_angle_beta 90.00
_cell_angle_gamma 90.00
loop_
_atom_site_label
_atom_site_type_symbol
_atom_site_fract_x
_atom_site_fract_y
_atom_site_fract_z
_atom_site_occupancy
Te1 Te 0.000 0.500 0.000 1
Te2 Te 0.500 0.000 0.000 1
I1 I 0.000 0.000 0.500 1
Na1 Na 0.500 0.500 0.500 1
Bi1 Bi 0.000 0.000 0.000 1
```

Values from the calculation:
Uncorrected energy, eV/cell: -13.6
Space-group type: P4/mmm, No. 123
Spin magnetization, μB per cell: 0.00

=====

# 4
Density functional theory data (PBE-GGA) for Na2TiBiI after structural relaxation.

Geometry as CIF:
```
data_Na2TiBiI
_chemical_formula_sum 'Na2 Ti1 Bi1 I1'
_space_group_name_H-M_alt 'P 1'
_space_group_IT_number 1
_space_group_name_Hall 'P 1'
_cell_length_a 5.893
_cell_length_b 6.496
_cell_length_c 5.893
_cell_angle_alpha 90.00
_cell_angle_beta 90.00
_cell_angle_gamma 90.00
loop_
_atom_site_label
_atom_site_type_symbol
_atom_site_fract_x
_atom_site_fract_y
_atom_site_fract_z
_atom_site_occupancy
Na1 Na 0.500 0.000 0.000 1
I1 I 0.000 0.500 0.000 1
Bi1 Bi 0.000 0.000 0.000 1
Ti1 Ti 0.500 0.500 0.500 1
Na2 Na 0.000 0.000 0.500 1
```

Values from the calculation:
Uncorrected energy, eV/cell: -12.7
Space-group type: P4/mmm, No. 123
Spin magnetization, μB per cell: 3.47

=====

# 5
Density functional theory data (PBE-GGA) for Na2TlBiI6 after structural relaxation.

Geometry as CIF:
```
data_Na2TlBiI6
_chemical_formula_sum 'Na2 Tl1 Bi1 I6'
_space_group_name_H-M_alt 'P 1'
_space_group_IT_number 1
_space_group_name_Hall 'P 1'
_cell_length_a 8.185
_cell_length_b 8.185
_cell_length_c 8.880
_cell_angle_alpha 62.55
_cell_angle_beta 62.55
_cell_angle_gamma 59.97
loop_
_atom_site_label
_atom_site_type_symbol
_atom_site_fract_x
_atom_site_fract_y
_atom_site_fract_z
_atom_site_occupancy
Na1 Na 0.516 0.516 0.452 1
I1 I 0.582 0.241 0.241 1
I2 I 0.936 0.582 0.241 1
Bi1 Bi 0.328 0.328 0.017 1
I3 I 0.725 0.134 0.760 1
I4 I 0.241 0.936 0.241 1
I5 I 0.382 0.725 0.759 1
Tl1 Tl 0.816 0.816 0.552 1
Na2 Na 0.002 0.002 0.994 1
I6 I 0.134 0.382 0.759 1
```

Values from the calculation:
Uncorrected energy, eV/cell: -26.2
Space-group type: R3, No. 146
Spin magnetization, μB per cell: 0.00

=====

# 6
Density functional theory data (PBE-GGA) for NbBiI2 after structural relaxation.

Geometry as CIF:
```
data_NbBiI2
_chemical_formula_sum 'Nb2 Bi2 I4'
_space_group_name_H-M_alt 'P 1'
_space_group_IT_number 1
_space_group_name_Hall 'P 1'
_cell_length_a 10.151
_cell_length_b 10.151
_cell_length_c 7.710
_cell_angle_alpha 48.83
_cell_angle_beta 48.83
_cell_angle_gamma 90.00
loop_
_atom_site_label
_atom_site_type_symbol
_atom_site_fract_x
_atom_site_fract_y
_atom_site_fract_z
_atom_site_occupancy
I1 I 0.263 0.625 0.250 1
Bi1 Bi 0.000 0.000 0.000 1
Bi2 Bi 0.750 0.250 0.500 1
Nb1 Nb 0.500 0.500 0.000 1
I2 I 0.375 0.513 0.750 1
I3 I 0.487 0.125 0.250 1
Nb2 Nb 0.250 0.750 0.500 1
I4 I 0.875 0.737 0.750 1
```

Values from the calculation:
Uncorrected energy, eV/cell: -32.7
Space-group type: I-42d, No. 122
Spin magnetization, μB per cell: 2.91

=====

no.,formation energy from raw total energies (eV per atom),density (g/cm3)
1,-0.580,4.68
2,-0.329,4.35
3,-0.116,4.55
4,0.647,3.16
5,-0.805,4.65
6,0.180,6.36